[1]
A plane-wave DFT calculation with meta-GGA SCAN was carried out for a PBEsol-optimized structure of RbTiSeBr2.

Cell: 6.369 6.369 4.615 Å, 90.00 90.00 90.00°
Space group P4/mmm (No. 123)
Inequivalent atoms, fractional coordinates:
Rb 0.000 0.000 0.000 (multiplicity 1)
Ti 0.500 0.500 0.000 (multiplicity 1)
Se 0.500 0.500 0.500 (multiplicity 1)
Br 0.000 0.500 0.500 (multiplicity 2)



[2]
A plane-wave DFT calculation with meta-GGA SCAN was carried out for a PBEsol-optimized structure of RbZnSe2Br.

Cell: 6.354 6.354 6.187 Å, 90.00 90.00 90.00°
Space group P4/mmm (No. 123)
Inequivalent atoms, fractional coordinates:
Rb 0.000 0.000 0.000 (multiplicity 1)
Zn 0.500 0.500 0.500 (multiplicity 1)
Se 0.000 0.500 0.000 (multiplicity 2)
Br 0.000 0.000 0.500 (multiplicity 1)



no.,uncorrected energy (eV/atom)
1,-19.748
2,-18.171